1.
# HgSeCl2

A relaxed HgSeCl2 crystal (PBE-GGA, Alexandria via LeMat-Bulk).

* distance to the lowest polymorph of the same formula: 468.5 meV/atom
* final energy: -20.188 eV/cell

Unit cell a=3.4836 b=3.4836 c=34.3513 alpha=90.00 beta=90.00 gamma=120.00
Last column: nearest neighbours and their distance in Å.
Space group R-3m (No. 166, hexagonal axes)
Inequivalent atoms, fractional coordinates:
Hg 0.0000 0.0000 0.0000 [3 per cell]  2 Cl 2.29
Se 0.0000 0.0000 0.5000 [3 per cell]  6 Se 3.48
Cl 0.0000 0.0000 0.0665 [6 per cell]  1 Hg 2.29

---

2.
# SrAlCl2

A relaxed SrAlCl2 crystal (PBE-GGA, Alexandria via LeMat-Bulk).

* distance to the lowest polymorph of the same formula: 0.0 meV/atom
* final energy: -42.143 eV/cell

Unit cell a=4.2429 b=4.2429 c=29.0125 alpha=90.00 beta=90.00 gamma=120.00
Last column: nearest neighbours and their distance in Å.
Space group R-3m (No. 166, hexagonal axes)
Inequivalent atoms, fractional coordinates:
Sr 0.0000 0.0000 0.0000 [3 per cell]  6 Cl 2.88
Al 0.0000 0.0000 0.5000 [3 per cell]  2 Cl 3.32
Cl 0.0000 0.0000 0.3855 [6 per cell]  3 Sr 2.88

---

3.
# Tl2VCrNi

A relaxed Tl2VCrNi crystal (PBE-GGA, Alexandria via LeMat-Bulk).

* final energy: -22.786 eV/cell

Unit cell a=4.8760 b=4.8760 c=4.4864 alpha=90.00 beta=90.00 gamma=90.00
Last column: nearest neighbours and their distance in Å.
Space group P4/mmm (No. 123)
Inequivalent atoms, fractional coordinates:
Tl 0.0000 0.5000 0.0000 [2 per cell]  2 Ni 2.44
V 0.0000 0.0000 0.5000 [1 per cell]  2 Ni 2.24
Cr 0.5000 0.5000 0.5000 [1 per cell]  8 Tl 3.31, 4 V 3.45
Ni 0.0000 0.0000 0.0000 [1 per cell]  2 V 2.24, 4 Tl 2.44

---

4.
# GdMn12

A relaxed GdMn12 crystal (PBE-GGA, Alexandria via LeMat-Bulk).

* final energy: -495.233 eV/cell

Unit cell a=4.6268 b=11.8272 c=11.8170 alpha=90.00 beta=90.00 gamma=90.00
Last column: nearest neighbours and their distance in Å.
Space group Fmm2 (No. 42)
Inequivalent atoms, fractional coordinates:
Gd 0.0000 0.0000 0.0000 [4 per cell]  20 Mn 2.99-3.18
Mn 0.0000 0.1140 0.3839 [8 per cell]  8 Mn 2.39-2.57
Mn 0.0000 0.1142 0.6132 [8 per cell]  8 Mn 2.39-2.59
Mn 0.0000 0.1825 0.8181 [8 per cell]  1 Mn 2.26
Mn 0.0000 0.1836 0.1820 [8 per cell]  3 Mn 2.26-2.53
Mn 0.2477 0.0000 0.7492 [8 per cell]  6 Mn 2.29-2.39
Mn 0.2500 0.2500 0.9999 [8 per cell]  10 Mn 2.31-2.57

---

5.
# Tb4HoSe7

A relaxed Tb4HoSe7 crystal (PBE-GGA, Alexandria via LeMat-Bulk).

* final energy: -139.836 eV/cell

Unit cell a=13.4253 b=3.9810 c=12.2221 alpha=90.00 beta=104.49 gamma=90.00
Last column: nearest neighbours and their distance in Å.
Space group Cm (No. 8)
Inequivalent atoms, fractional coordinates:
Tb 0.0000 0.0000 0.0000 [2 per cell]  6 Se 2.82-2.96
Tb 0.0877 0.5000 0.3891 [2 per cell]  7 Se 2.89-3.10
Tb 0.1872 0.0000 0.7657 [2 per cell]  7 Se 2.89-3.10
Tb 0.3873 0.5000 0.5767 [2 per cell]  6 Se 2.82-2.88
Ho 0.2746 0.5000 0.1551 [2 per cell]  6 Se 2.79-2.94
Se 0.0473 0.5000 0.6277 [2 per cell]  5 Tb 2.88-3.10
Se 0.1295 0.5000 0.9303 [2 per cell]  4 Tb 2.91-3.06, 1 Ho 2.94
Se 0.1477 0.0000 0.2253 [2 per cell]  2 Ho 2.89, 3 Tb 2.96-3.07
Se 0.2272 0.0000 0.5269 [2 per cell]  5 Tb 2.88-3.10
Se 0.3476 0.5000 0.7928 [2 per cell]  4 Tb 2.82-2.89
Se 0.3862 0.0000 0.0782 [2 per cell]  2 Ho 2.79, 2 Tb 2.82
Se 0.4268 0.5000 0.3604 [2 per cell]  1 Ho 2.81, 3 Tb 2.82-2.89

---

6.
# CaDyCo

A relaxed CaDyCo crystal (PBE-GGA, Alexandria via LeMat-Bulk).

* distance to the lowest polymorph of the same formula: 0.0 meV/atom
* final energy: -56.139 eV/cell

Unit cell a=3.8957 b=21.4600 c=3.8671 alpha=90.00 beta=90.00 gamma=90.00
Last column: nearest neighbours and their distance in Å.
Space group Cmcm (No. 63)
Inequivalent atoms, fractional coordinates:
Ca 0.0000 0.1854 0.2500 [4 per cell]  1 Co 3.35, 4 Dy 3.71
Dy 0.0000 0.4311 0.2500 [4 per cell]  6 Co 2.87
Co 0.0000 0.0294 0.2500 [4 per cell]  2 Co 2.31